A relaxed structure of FeMo2, computed with GGA-PBE.

Unit cell a=4.2282 b=4.2282 c=2.6825 alpha=90.00 beta=90.00 gamma=90.00
With the nearest neighbours (Å) after each atom.
Fractional coordinates of all 3 atoms:
Mo1 0.5000 0.0000 0.5000  4 Fe 2.50, 2 Mo 2.68
Fe1 0.0000 0.0000 0.0000  8 Mo 2.50, 2 Fe 2.68
Mo2 0.0000 0.5000 0.5000  4 Fe 2.50, 2 Mo 2.68

Results
energy of formation	0.78	eV per atom
volume	48.0	Å³ per cell
E	-9.2571	eV/atom